Computed, not measured: AcOsN3 after structural relaxation at the PBE level of DFT.

Total moment in μB/atom: 0.000
V in Å³ per atom: 17.04
Formation energy (no corrections) in eV/atom: -0.0749
D(E_F) in states/eV per atom: 0.0412

Cell: 4.429 13.905 5.533 Å, 90.00 90.00 90.00°
Space group C222_1 (No. 20)
One atom of each set of equivalent atoms:
Ac1 0.000 0.156 0.250
Os1 0.000 0.406 0.250
N1 0.044 0.316 0.485
N2 0.107 0.500 0.000